1.
Compound: PmEuIn2
Source: Alexandria via LeMat-Bulk
Functional: PBE
Structure: optimized geometry

The structure belongs to space group R-3m (No. 166, hexagonal axes); the cell edges are 3.7912, 3.7912 and 30.5145 Å and the angles 90.00°, 90.00° and 120.00°. The inequivalent atoms are Pm at (0.0000, 0.0000, 0.0000), Eu at (0.0000, 0.0000, 0.5000) and In at (0.0000, 0.0000, 0.2514).

For the density of states at the Fermi level, the calculation gives 26.63 states/eV per cell. The uncorrected energy comes out at -5.41 eV/atom. Its energy relative to the elements is -0.288 eV/atom.



2.
Compound: SbOsBr2
Source: Alexandria via LeMat-Bulk
Functional: PBE
Structure: optimized geometry

The structure belongs to space group P4/mmm (No. 123); the cell edges are 4.9394, 4.9394 and 3.4187 Å and the angles 90.00°, 90.00° and 90.00°. The inequivalent atoms are Sb at (0.0000, 0.0000, 0.0000), Os at (0.5000, 0.5000, 0.0000) and Br at (0.0000, 0.5000, 0.5000).

For the density of states at the Fermi level, the calculation gives 2.59 states/eV per cell. The uncorrected energy comes out at -3.37 eV/atom. The energy relative to the elements, uncorrected is 1.30 eV per atom.



3.
Compound: Pa2HgO4
Source: Alexandria via LeMat-Bulk
Functional: PBE
Structure: optimized geometry

The structure belongs to space group R-3m (No. 166, hexagonal axes); the cell edges are 3.7904, 3.7904 and 29.4487 Å and the angles 90.00°, 90.00° and 120.00°. The inequivalent atoms are Pa at (0.0000, 0.0000, 0.2210), Hg at (0.0000, 0.0000, 0.0000), O at (0.0000, 0.0000, 0.1416) and O at (0.0000, 0.0000, 0.4223).

For the density of states at the Fermi level, the calculation gives 16.34 states/eV per cell. The uncorrected energy comes out at -8.48 eV/atom. The energy relative to the elements, uncorrected is -2.89 eV per atom.



4.
Compound: CaSm2Ga4Pt3
Source: Alexandria via LeMat-Bulk
Functional: PBE
Structure: optimized geometry

The structure belongs to space group P-4m2 (No. 115); the cell edges are 4.2622, 4.2622 and 11.4494 Å and the angles 90.00°, 90.00° and 90.00°. The inequivalent atoms are Ca at (0.0000, 0.0000, 0.0000), Sm at (0.0000, 0.5000, 0.7227), Ga at (0.0000, 0.0000, 0.5000), Ga at (0.0000, 0.5000, 0.1629), Ga at (0.5000, 0.5000, 0.5000), Pt at (0.0000, 0.5000, 0.3767) and Pt at (0.5000, 0.5000, 0.0000).

For the density of states at the Fermi level, the calculation gives 5.19 states/eV per cell. The uncorrected energy comes out at -4.99 eV/atom. Its energy relative to the elements is -0.822 eV/atom.



- Which of these has the lowest uncorrected energy?
  Pa2HgO4



- What is the uncorrected energy in the third record?
  -8.48 eV/atom



- Number 1 is which compound?
  PmEuIn2



Repeat the second record exactly.
Compound: SbOsBr2
Source: Alexandria via LeMat-Bulk
Functional: PBE
Structure: optimized geometry

The structure belongs to space group P4/mmm (No. 123); the cell edges are 4.9394, 4.9394 and 3.4187 Å and the angles 90.00°, 90.00° and 90.00°. The inequivalent atoms are Sb at (0.0000, 0.0000, 0.0000), Os at (0.5000, 0.5000, 0.0000) and Br at (0.0000, 0.5000, 0.5000).

For the density of states at the Fermi level, the calculation gives 2.59 states/eV per cell. The uncorrected energy comes out at -3.37 eV/atom. The energy relative to the elements, uncorrected is 1.30 eV per atom.